Below is a relaxed Al2SiPb crystal, with properties calculated at the PBE level.

Computed properties:
V ... 85.2 Å³/cell

Unit cell a=9.631 b=9.631 c=9.631 alpha=19.29 beta=19.29 gamma=19.29
Fractional coordinates of all 4 atoms:
Al  0.232  0.232  0.232
Al  0.768  0.768  0.768
Si  0.500  0.500  0.500
Pb  0.000  0.000  0.000

---

Below is a relaxed Al2SiPb crystal, with properties calculated at the PBE level.

Computed properties:
V ... 82.9 Å³/cell

Unit cell a=4.895 b=4.895 c=4.895 alpha=60.00 beta=60.00 gamma=60.00
Fractional coordinates of all 4 atoms:
Al  0.000  0.000  0.000
Al  0.250  0.250  0.250
Si  0.500  0.500  0.500
Pb  0.750  0.750  0.750

---

Below is a relaxed AlSi2Pb crystal, with properties calculated at the PBE level.

Computed properties:
V ... 87.0 Å³/cell

Unit cell a=3.945 b=3.610 c=6.107 alpha=90.00 beta=90.12 gamma=90.00
Fractional coordinates of all 4 atoms:
Al  0.000  0.000  0.000
Si  0.501  0.000  0.271
Si  0.501  0.500  0.993
Pb  0.004  0.500  0.587

---

Below is a relaxed AlSi2Pb crystal, with properties calculated at the PBE level.

Computed properties:
V ... 81.6 Å³/cell

Unit cell a=5.034 b=5.034 c=3.299 alpha=90.00 beta=90.00 gamma=102.48
Fractional coordinates of all 4 atoms:
Al  0.000  0.000  0.000
Si  0.000  0.500  0.500
Si  0.500  0.000  0.500
Pb  0.500  0.500  0.000

---

Below is a relaxed Al2SiPb crystal, with properties calculated at the PBE level.

Computed properties:
V ... 82.6 Å³/cell

Unit cell a=5.078 b=5.078 c=5.078 alpha=126.09 beta=126.09 gamma=79.74
Fractional coordinates of all 4 atoms:
Al  0.250  0.750  0.500
Al  0.750  0.250  0.500
Si  0.000  0.000  0.000
Pb  0.500  0.500  0.000

---

Below is a relaxed Al2SiPb crystal, with properties calculated at the PBE level.

Computed properties:
V ... 81.7 Å³/cell

Unit cell a=3.273 b=3.273 c=7.622 alpha=90.00 beta=90.00 gamma=90.00
Fractional coordinates of all 4 atoms:
Al  0.000  0.000  0.187
Al  0.000  0.000  0.813
Si  0.500  0.500  0.000
Pb  0.500  0.500  0.500

---

Number 1: total energy -3.874 eV per atom, polymorph energy (0 for the lowest one) 0.083 eV per atom. Number 2: total energy -3.703 eV per atom, polymorph energy (0 for the lowest one) 0.253 eV per atom. Number 3: total energy -4.295 eV per atom, polymorph energy (0 for the lowest one) 0.015 eV per atom. Number 4: total energy -4.006 eV per atom, polymorph energy (0 for the lowest one) 0.304 eV per atom. Number 5: total energy -3.724 eV per atom, polymorph energy (0 for the lowest one) 0.232 eV per atom. Number 6: total energy -3.921 eV per atom, polymorph energy (0 for the lowest one) 0.036 eV per atom.